First-principles (PBE) data for a relaxed SiTe2MoN crystal, as listed in Alexandria.

a b c (Å): 5.439 5.439 3.782
angles (deg): 90.00 90.00 90.00
Fractional positions:
Si 0.000 0.000 0.000
Te 0.000 0.500 0.500
Te 0.500 0.000 0.500
Mo 0.500 0.500 0.500
N 0.500 0.500 0.000

Results
Magnetization: 0.00 Bohr magnetons per cell
Uncorrected formation energy: 0.48 eV/atom
E_tot: -5.689 eV per atom